[1]
DFT (meta-GGA SCAN) results for CsNa3N at its PBEsol-relaxed geometry.

Cell lengths 7.569, 7.569, 7.569 Å; angles 90.00, 90.00, 90.00 degrees
Element x y z (fractional)
Cs: 0.000 0.000 0.000
Na: 0.000 0.500 0.000
Na: 0.000 0.000 0.500
Na: 0.500 0.000 0.000
N: 0.500 0.500 0.500

Its density is 0.8 g cm⁻³. The uncorrected formation energy comes out at 1427.3 meV/atom. The volume is 86.72 A^3/atom. The total energy comes out at -10.52 eV/atom.

---

[2]
DFT (meta-GGA SCAN) results for Cs5NaW4N10 at its PBEsol-relaxed geometry.

Cell lengths 9.031, 10.867, 10.867 Å; angles 80.06, 65.45, 65.45 degrees
Element x y z (fractional)
Cs: 0.996 0.222 0.441
Cs: 0.659 0.778 0.559
Cs: 0.187 0.059 0.722
Cs: 0.969 0.941 0.278
Cs: 0.603 0.728 0.947
Cs: 0.278 0.272 0.053
Cs: 0.300 0.553 0.228
Cs: 0.081 0.447 0.772
Cs: 0.524 0.500 0.500
Cs: 0.774 0.000 0.000
Na: 0.264 0.000 0.000
Na: 0.014 0.500 0.500
W: 0.428 0.904 0.308
W: 0.640 0.096 0.692
W: 0.486 0.192 0.404
W: 0.082 0.808 0.596
W: 0.794 0.312 0.103
W: 0.208 0.688 0.897
W: 0.647 0.397 0.812
W: 0.855 0.603 0.188
N: 0.326 0.976 0.189
N: 0.491 0.024 0.811
N: 0.265 0.311 0.476
N: 0.052 0.689 0.524
N: 0.799 0.444 0.666
N: 0.909 0.556 0.334
N: 0.215 0.834 0.944
N: 0.993 0.166 0.056
N: 0.271 0.852 0.464
N: 0.588 0.148 0.536
N: 0.486 0.036 0.352
N: 0.874 0.964 0.648
N: 0.729 0.360 0.951
N: 0.040 0.640 0.049
N: 0.430 0.549 0.860
N: 0.839 0.451 0.140
N: 0.612 0.276 0.254
N: 0.142 0.724 0.746
N: 0.616 0.246 0.776
N: 0.638 0.754 0.224

Its density is 5.9 g cm⁻³. The uncorrected formation energy comes out at -667.9 meV/atom. The volume is 22.06 A^3/atom. The total energy comes out at -28.91 eV/atom.

---

[3]
DFT (meta-GGA SCAN) results for CsNbTeN2 at its PBEsol-relaxed geometry.

Cell lengths 4.330, 4.330, 5.560 Å; angles 90.00, 90.00, 90.00 degrees
Element x y z (fractional)
Cs: 0.500 0.500 0.500
Nb: 0.000 0.000 0.000
Te: 0.000 0.000 0.500
N: 0.000 0.500 0.000
N: 0.500 0.000 0.000

Its density is 6.1 g cm⁻³. The uncorrected formation energy comes out at 343.2 meV/atom. The volume is 20.85 A^3/atom. The total energy comes out at -25.01 eV/atom.

---

[4]
DFT (meta-GGA SCAN) results for CsTiNb2N at its PBEsol-relaxed geometry.

Cell lengths 4.155, 5.121, 5.121 Å; angles 90.00, 90.00, 90.00 degrees
Element x y z (fractional)
Cs: 0.000 0.000 0.000
Nb: 0.000 0.000 0.500
Nb: 0.000 0.500 0.000
N: 0.500 0.000 0.000
Ti: 0.500 0.500 0.500

Its density is 5.8 g cm⁻³. The uncorrected formation energy comes out at 2965.1 meV/atom. The volume is 21.79 A^3/atom. The total energy comes out at -22.91 eV/atom.

---

[5]
DFT (meta-GGA SCAN) results for CsNi2SbN at its PBEsol-relaxed geometry.

Cell lengths 4.591, 4.591, 6.860 Å; angles 90.00, 90.00, 90.00 degrees
Element x y z (fractional)
Cs: 0.000 0.000 0.000
Sb: 0.000 0.000 0.500
N: 0.500 0.500 0.500
Ni: 0.000 0.500 0.000
Ni: 0.500 0.000 0.000

Its density is 4.4 g cm⁻³. The uncorrected formation energy comes out at 2906.6 meV/atom. The volume is 28.92 A^3/atom. The total energy comes out at -20.44 eV/atom.

---

[6]
DFT (meta-GGA SCAN) results for Cs2NO at its PBEsol-relaxed geometry.

Cell lengths 5.131, 5.131, 5.131 Å; angles 60.00, 60.00, 60.00 degrees
Element x y z (fractional)
Cs: 0.250 0.250 0.250
Cs: 0.750 0.750 0.750
O: 0.500 0.500 0.500
N: 0.000 0.000 0.000

Its density is 5.1 g cm⁻³. The uncorrected formation energy comes out at 176.9 meV/atom. The volume is 23.88 A^3/atom. The total energy comes out at -22.61 eV/atom.